1.
Entry from Alexandria via LeMat-Bulk: a geometry-optimized Sr3ZnAg2O6 structure (GGA-PBE).

Lattice parameters (Å, degrees): 5.863 5.863 6.379 90.00 90.00 120.00
Fractional coordinates of all 12 atoms:
Sr 0.000 0.000 0.000
Sr 0.333 0.667 0.602
Sr 0.667 0.333 0.398
Zn 0.000 0.000 0.500
Ag 0.333 0.667 0.105
Ag 0.667 0.333 0.895
O 0.162 0.324 0.308
O 0.162 0.838 0.308
O 0.324 0.162 0.692
O 0.676 0.838 0.308
O 0.838 0.162 0.692
O 0.838 0.676 0.692

Output
As for the crystal system: trigonal. The calculation puts the volume at 189.9 Å³/cell. As for the energy relative to the elements, uncorrected: -1356 meV/atom. For the total magnetization, the calculation gives 0.0 μB per cell. As for the raw total energy: -4.84 eV per atom.

=====

2.
Entry from Alexandria via LeMat-Bulk: a geometry-optimized TaAg2O structure (GGA-PBE).

Lattice parameters (Å, degrees): 6.449 6.449 6.449 95.28 95.28 144.69
Fractional coordinates of all 8 atoms:
Ta 0.000 0.000 0.000
Ta 0.750 0.250 0.500
Ag 0.228 0.625 0.103
Ag 0.375 0.478 0.603
Ag 0.522 0.125 0.897
Ag 0.875 0.772 0.397
O 0.250 0.750 0.500
O 0.500 0.500 0.000

Output
As for the crystal system: tetragonal. The calculation puts the volume at 147.8 Å³/cell. As for the energy relative to the elements, uncorrected: 7 meV/atom. For the total magnetization, the calculation gives 0.0 μB per cell. As for the raw total energy: -5.62 eV per atom.

=====

3.
Entry from Alexandria via LeMat-Bulk: a geometry-optimized Ta2Ag2O7 structure (GGA-PBE).

Lattice parameters (Å, degrees): 7.437 7.437 7.437 60.00 60.00 60.00
Fractional coordinates of all 22 atoms:
Ta 0.000 0.000 0.000
Ta 0.000 0.000 0.500
Ta 0.000 0.500 0.000
Ta 0.500 0.000 0.000
Ag 0.000 0.500 0.500
Ag 0.500 0.000 0.500
Ag 0.500 0.500 0.000
Ag 0.500 0.500 0.500
O 0.066 0.066 0.684
O 0.066 0.684 0.066
O 0.066 0.684 0.684
O 0.316 0.316 0.934
O 0.316 0.934 0.316
O 0.316 0.934 0.934
O 0.375 0.375 0.375
O 0.625 0.625 0.625
O 0.684 0.066 0.066
O 0.684 0.066 0.684
O 0.684 0.684 0.066
O 0.934 0.316 0.316
O 0.934 0.316 0.934
O 0.934 0.934 0.316

Output
As for the crystal system: cubic. The calculation puts the volume at 290.8 Å³/cell. As for the energy relative to the elements, uncorrected: -1763 meV/atom. For the total magnetization, the calculation gives 1.3 μB per cell. As for the raw total energy: -7.59 eV per atom.

=====

4.
Entry from Alexandria via LeMat-Bulk: a geometry-optimized TaAgO4 structure (GGA-PBE).

Lattice parameters (Å, degrees): 3.533 3.533 5.439 90.00 90.00 90.00
Fractional coordinates of all 6 atoms:
Ta 0.000 0.000 0.000
Ag 0.500 0.500 0.500
O 0.000 0.500 0.216
O 0.000 0.500 0.784
O 0.500 0.000 0.216
O 0.500 0.000 0.784

Output
As for the crystal system: tetragonal. The calculation puts the volume at 67.9 Å³/cell. As for the energy relative to the elements, uncorrected: -1324 meV/atom. For the total magnetization, the calculation gives 1.0 μB per cell. As for the raw total energy: -7.08 eV per atom.

=====

5.
Entry from Alexandria via LeMat-Bulk: a geometry-optimized Ta2Ag2O structure (GGA-PBE).

Lattice parameters (Å, degrees): 5.687 5.687 5.095 90.00 90.00 90.00
Fractional coordinates of all 10 atoms:
Ta 0.171 0.329 0.000
Ta 0.329 0.829 0.000
Ta 0.671 0.171 0.000
Ta 0.829 0.671 0.000
Ag 0.167 0.667 0.500
Ag 0.333 0.167 0.500
Ag 0.667 0.833 0.500
Ag 0.833 0.333 0.500
O 0.000 0.000 0.000
O 0.500 0.500 0.000

Output
As for the crystal system: tetragonal. The calculation puts the volume at 164.8 Å³/cell. Its energy above the most stable polymorph in this dataset is 0.0 meV/atom. As for the energy relative to the elements, uncorrected: -469 meV/atom. For the total magnetization, the calculation gives 0.0 μB per cell. As for the raw total energy: -7.34 eV per atom.

=====

6.
Entry from Alexandria via LeMat-Bulk: a geometry-optimized Ta2Ag2O structure (GGA-PBE).

Lattice parameters (Å, degrees): 7.729 7.729 7.729 154.01 154.01 37.08
Fractional coordinates of all 5 atoms:
Ta 0.089 0.089 0.000
Ta 0.911 0.911 0.000
Ag 0.250 0.750 0.500
Ag 0.750 0.250 0.500
O 0.500 0.500 0.000

Output
As for the crystal system: tetragonal. The calculation puts the volume at 88.5 Å³/cell. Its energy above the most stable polymorph in this dataset is 1353.4 meV/atom. As for the energy relative to the elements, uncorrected: 884 meV/atom. For the total magnetization, the calculation gives 0.0 μB per cell. As for the raw total energy: -5.99 eV per atom.

=====

7.
Entry from Alexandria via LeMat-Bulk: a geometry-optimized Ta2AgO7 structure (GGA-PBE).

Lattice parameters (Å, degrees): 6.021 6.021 3.889 90.00 90.00 114.68
Fractional coordinates of all 10 atoms:
Ta 0.199 0.801 0.000
Ta 0.801 0.199 0.000
Ag 0.500 0.500 0.500
O 0.000 0.000 0.000
O 0.165 0.441 0.000
O 0.210 0.790 0.500
O 0.441 0.165 0.000
O 0.559 0.835 0.000
O 0.790 0.210 0.500
O 0.835 0.559 0.000

Output
As for the crystal system: orthorhombic. The calculation puts the volume at 128.1 Å³/cell. As for the energy relative to the elements, uncorrected: -1685 meV/atom. For the total magnetization, the calculation gives 3.0 μB per cell. As for the raw total energy: -7.81 eV per atom.

=====

8.
Entry from Alexandria via LeMat-Bulk: a geometry-optimized TbTa5Ag2O15 structure (GGA-PBE).

Lattice parameters (Å, degrees): 12.599 12.599 3.923 90.00 90.00 90.00
Fractional coordinates of all 46 atoms:
Tb 0.000 0.000 0.000
Tb 0.500 0.500 0.000
Ta 0.000 0.500 0.500
Ta 0.080 0.210 0.500
Ta 0.210 0.920 0.500
Ta 0.290 0.420 0.500
Ta 0.420 0.710 0.500
Ta 0.500 0.000 0.500
Ta 0.580 0.290 0.500
Ta 0.710 0.580 0.500
Ta 0.790 0.080 0.500
Ta 0.920 0.790 0.500
Ag 0.163 0.663 0.000
Ag 0.337 0.163 0.000
Ag 0.663 0.837 0.000
Ag 0.837 0.337 0.000
O 0.000 0.500 0.000
O 0.001 0.659 0.500
O 0.058 0.870 0.500
O 0.079 0.188 0.000
O 0.130 0.058 0.500
O 0.159 0.501 0.500
O 0.188 0.921 0.000
O 0.223 0.277 0.500
O 0.277 0.777 0.500
O 0.312 0.421 0.000
O 0.341 0.001 0.500
O 0.370 0.558 0.500
O 0.421 0.688 0.000
O 0.442 0.370 0.500
O 0.499 0.159 0.500
O 0.500 0.000 0.000
O 0.501 0.841 0.500
O 0.558 0.630 0.500
O 0.579 0.312 0.000
O 0.630 0.442 0.500
O 0.659 0.999 0.500
O 0.688 0.579 0.000
O 0.723 0.223 0.500
O 0.777 0.723 0.500
O 0.812 0.079 0.000
O 0.841 0.499 0.500
O 0.870 0.942 0.500
O 0.921 0.812 0.000
O 0.942 0.130 0.500
O 0.999 0.341 0.500

Output
As for the crystal system: tetragonal. The calculation puts the volume at 622.6 Å³/cell. As for the energy relative to the elements, uncorrected: -2549 meV/atom. For the total magnetization, the calculation gives 0.0 μB per cell. As for the raw total energy: -8.81 eV per atom.

=====

Question: What is the formula in the fourth record?
Answer: TaAgO4